Entry 1:
A plane-wave DFT calculation with PBE-GGA was carried out for a relaxed structure of TaHg5.

Output
Crystal system: orthorhombic
Formation enthalpy at 0 K (kJ per mole of atoms): 34.67
Space group: Amm2, No. 38
Calculated volume (Å³/cell): 132.4
D(E_F) (states/eV/atom): 0.614

a b c (Å): 5.3257 8.3370 8.3370
angles (deg): 20.95 90.00 90.00
With the nearest neighbours (Å) after each atom.
Fractional coordinates of all 6 atoms:
Ta: 0.0000 0.0000 0.0000  10 Hg 3.03-3.20, 2 Ta 3.03
Hg: 0.0000 0.3403 0.3403  2 Ta 3.03, 10 Hg 3.03-3.32
Hg: 0.0000 0.6603 0.6603  10 Hg 3.03-3.32, 2 Ta 3.03
Hg: 0.5000 0.2236 0.2236  12 Hg 3.03-3.28
Hg: 0.5000 0.5480 0.5480  8 Hg 2.98-3.25, 4 Ta 3.16
Hg: 0.5000 0.8916 0.8916  10 Hg 2.98-3.18, 2 Ta 3.20

Entry 2:
A plane-wave DFT calculation with PBE-GGA was carried out for a relaxed structure of TaHg3.

Output
Crystal system: tetragonal
Formation enthalpy at 0 K (kJ per mole of atoms): 52.81
Space group: I4/mmm, No. 139
Calculated volume (Å³/cell): 166.1
D(E_F) (states/eV/atom): 0.932

a b c (Å): 9.4399 9.4399 9.4399
angles (deg): 153.60 153.60 37.68
With the nearest neighbours (Å) after each atom.
Fractional coordinates of all 8 atoms:
Ta: 0.1183 0.1183 0.0000  12 Hg 3.02-3.19
Ta: 0.8817 0.8817 0.0000  12 Hg 3.02-3.19
Hg: 0.0000 0.5000 0.5000  4 Ta 3.02, 8 Hg 3.05-3.14
Hg: 0.2500 0.7500 0.5000  8 Hg 3.05-3.07, 4 Ta 3.19
Hg: 0.3721 0.3721 0.0000  4 Ta 3.05, 8 Hg 3.07-3.14
Hg: 0.5000 0.0000 0.5000  4 Ta 3.02, 8 Hg 3.05-3.14
Hg: 0.6279 0.6279 0.0000  4 Ta 3.05, 8 Hg 3.07-3.14
Hg: 0.7500 0.2500 0.5000  8 Hg 3.05-3.07, 4 Ta 3.19

Entry 3:
A plane-wave DFT calculation with PBE-GGA was carried out for a relaxed structure of TaHg3.

Output
Crystal system: trigonal
Formation enthalpy at 0 K (kJ per mole of atoms): 43.29
Space group: R-3m, No. 166
Calculated volume (Å³/cell): 83.7
D(E_F) (states/eV/atom): 0.699

a b c (Å): 5.8441 5.8441 5.8441
angles (deg): 117.30 117.30 117.30
With the nearest neighbours (Å) after each atom.
Fractional coordinates of all 4 atoms:
Ta: 0.0000 0.0000 0.0000  2 Ta 2.91, 6 Hg 3.04
Hg: 0.0000 0.5000 0.5000  6 Hg 2.91-3.04, 2 Ta 3.04
Hg: 0.5000 0.0000 0.5000  6 Hg 2.91-3.04, 2 Ta 3.04
Hg: 0.5000 0.5000 0.0000  6 Hg 2.91-3.04, 2 Ta 3.04

Entry 4:
A plane-wave DFT calculation with PBE-GGA was carried out for a relaxed structure of TaHg3.

Output
Crystal system: tetragonal
Formation enthalpy at 0 K (kJ per mole of atoms): 59.99
Space group: I4/mmm, No. 139
Calculated volume (Å³/cell): 84.1
D(E_F) (states/eV/atom): 0.903

a b c (Å): 5.5477 5.5477 5.5477
angles (deg): 134.99 134.99 65.54
With the nearest neighbours (Å) after each atom.
Fractional coordinates of all 4 atoms:
Ta: 0.0000 0.0000 0.0000  12 Hg 3.00-3.15
Hg: 0.2500 0.7500 0.5000  8 Hg 3.00-3.15, 4 Ta 3.15
Hg: 0.5000 0.5000 0.0000  4 Ta 3.00, 8 Hg 3.15
Hg: 0.7500 0.2500 0.5000  8 Hg 3.00-3.15, 4 Ta 3.15

Entry 5:
A plane-wave DFT calculation with PBE-GGA was carried out for a relaxed structure of Ta5Hg4.

Output
Crystal system: tetragonal
Formation enthalpy at 0 K (kJ per mole of atoms): 35.05
Space group: I4/mmm, No. 139
Calculated volume (Å³/cell): 172.9
Polymorph energy (0 for the lowest one) (eV per atom): 0.0000
D(E_F) (states/eV/atom): 0.768

a b c (Å): 6.8747 6.8747 6.8747
angles (deg): 94.85 94.85 146.20
With the nearest neighbours (Å) after each atom.
Fractional coordinates of all 9 atoms:
Ta: 0.0000 0.0000 0.0000  8 Ta 2.95, 4 Hg 3.04
Ta: 0.3350 0.3350 0.6701  6 Hg 2.93-3.12, 6 Ta 2.95-3.07
Ta: 0.3350 0.6650 0.0000  6 Hg 2.93-3.12, 6 Ta 2.95-3.07
Ta: 0.6650 0.3350 0.0000  6 Hg 2.93-3.12, 6 Ta 2.95-3.07
Ta: 0.6650 0.6650 0.3299  6 Hg 2.93-3.12, 6 Ta 2.95-3.07
Hg: 0.0000 0.3265 0.3265  7 Ta 2.93-3.12, 5 Hg 3.03-3.23
Hg: 0.0000 0.6735 0.6735  7 Ta 2.93-3.12, 5 Hg 3.03-3.23
Hg: 0.3265 0.0000 0.3265  7 Ta 2.93-3.12, 5 Hg 3.03-3.23
Hg: 0.6735 0.0000 0.6735  7 Ta 2.93-3.12, 5 Hg 3.03-3.23

Entry 6:
A plane-wave DFT calculation with PBE-GGA was carried out for a relaxed structure of TaHg3.

Output
Crystal system: orthorhombic
Formation enthalpy at 0 K (kJ per mole of atoms): 37.08
Space group: Cmcm, No. 63
Calculated volume (Å³/cell): 172.0
D(E_F) (states/eV/atom): 0.709

a b c (Å): 6.5663 6.5663 4.0174
angles (deg): 90.00 90.00 83.14
With the nearest neighbours (Å) after each atom.
Fractional coordinates of all 8 atoms:
Ta: 0.1128 0.8872 0.7500  2 Ta 2.81, 8 Hg 3.02-3.09
Ta: 0.8872 0.1128 0.2500  2 Ta 2.81, 8 Hg 3.02-3.09
Hg: 0.0985 0.3588 0.7500  5 Hg 2.93-3.12, 3 Ta 3.02-3.09
Hg: 0.3588 0.0985 0.2500  5 Hg 2.93-3.12, 3 Ta 3.02-3.09
Hg: 0.3790 0.6210 0.2500  4 Hg 2.91-3.12, 2 Ta 3.07
Hg: 0.6210 0.3790 0.7500  4 Hg 2.91-3.12, 2 Ta 3.07
Hg: 0.6412 0.9015 0.7500  5 Hg 2.93-3.12, 3 Ta 3.02-3.09
Hg: 0.9015 0.6412 0.2500  5 Hg 2.93-3.12, 3 Ta 3.02-3.09

Entry 7:
A plane-wave DFT calculation with PBE-GGA was carried out for a relaxed structure of Ta3Hg2.

Output
Crystal system: trigonal
Formation enthalpy at 0 K (kJ per mole of atoms): 95.12
Space group: P-3m1, No. 164
Calculated volume (Å³/cell): 105.6
Polymorph energy (0 for the lowest one) (eV per atom): 0.6062
D(E_F) (states/eV/atom): 1.038

a b c (Å): 4.5903 4.5903 5.7848
angles (deg): 90.00 90.00 120.00
With the nearest neighbours (Å) after each atom.
Fractional coordinates of all 5 atoms:
Ta: 0.0000 0.0000 0.0000  6 Hg 2.83
Ta: 0.3333 0.6667 0.3550  5 Hg 2.73-3.05
Ta: 0.6667 0.3333 0.6450  5 Hg 2.73-3.05
Hg: 0.3333 0.6667 0.8276  8 Ta 2.73-3.05
Hg: 0.6667 0.3333 0.1724  8 Ta 2.73-3.05

Entry 8:
A plane-wave DFT calculation with PBE-GGA was carried out for a relaxed structure of TaHg5.

Output
Crystal system: cubic
Formation enthalpy at 0 K (kJ per mole of atoms): 76.00
Space group: F-43m, No. 216
Calculated volume (Å³/cell): 141.3
D(E_F) (states/eV/atom): 0.781

a b c (Å): 5.8468 5.8468 5.8468
angles (deg): 60.00 60.00 60.00
With the nearest neighbours (Å) after each atom.
Fractional coordinates of all 6 atoms:
Ta: 0.0000 0.0000 0.0000  16 Hg 3.43-3.58
Hg: 0.3746 0.3746 0.3746  6 Hg 2.91-2.93
Hg: 0.3746 0.3746 0.8762  6 Hg 2.91-2.93
Hg: 0.3746 0.8762 0.3746  6 Hg 2.91-2.93
Hg: 0.7500 0.7500 0.7500  12 Hg 3.43, 4 Ta 3.58
Hg: 0.8762 0.3746 0.3746  6 Hg 2.91-2.93